Entry 1:
Below is a relaxed ErPuNi4 crystal, with properties calculated at the GGA-PBE level.

SG: F-43m, No. 216
E_form (eV/atom): -0.34

Lattice parameters (Å, degrees): 5.0473 5.0473 5.0473 60.00 60.00 60.00
Site moments in Bohr magnetons follow the coordinates.
Fractional positions:
Er  0.2500  0.2500  0.2500  0.28
Ni  0.1238  0.6254  0.6254  -0.12
Pu  0.0000  0.0000  0.0000  5.13
Ni  0.6254  0.6254  0.1238  -0.12
Ni  0.6254  0.6254  0.6254  -0.12
Ni  0.6254  0.1238  0.6254  -0.12

=====

Entry 2:
Below is a relaxed Er2PuNi crystal, with properties calculated at the GGA-PBE level.

Excess energy over the best structure of this formula in the dataset (meV/atom): 295
SG: R-3m, No. 166
E_form (eV/atom): 0.16

Lattice parameters (Å, degrees): 3.4683 3.4683 10.4693 80.47 80.47 60.00
Site moments in Bohr magnetons follow the coordinates.
Fractional positions:
Er  0.8913  0.8913  0.3260  -0.02
Er  0.1087  0.1087  0.6740  -0.02
Pu  0.0000  0.0000  0.0000  -5.77
Ni  0.5000  0.5000  0.5000  -0.01

=====

Entry 3:
Below is a relaxed ErPu2Ni crystal, with properties calculated at the GGA-PBE level.

Excess energy over the best structure of this formula in the dataset (meV/atom): 243
SG: R-3m, No. 166
E_form (eV/atom): 0.32

Lattice parameters (Å, degrees): 3.4136 3.4136 10.2394 80.40 80.40 60.00
Site moments in Bohr magnetons follow the coordinates.
Fractional positions:
Er  0.0000  0.0000  0.0000  -0.01
Pu  0.8958  0.8958  0.3127  5.40
Ni  0.5000  0.5000  0.5000  -0.17
Pu  0.1042  0.1042  0.6873  5.40

=====

Entry 4:
Below is a relaxed ErPuNi crystal, with properties calculated at the GGA-PBE level.

Excess energy over the best structure of this formula in the dataset (meV/atom): 0
SG: I4mm, No. 107
E_form (eV/atom): -0.09

Lattice parameters (Å, degrees): 3.3572 3.3572 6.4469 105.09 105.09 90.00
Site moments in Bohr magnetons follow the coordinates.
Fractional positions:
Pu  0.0274  0.0274  0.0547  -5.44
Er  0.3002  0.3002  0.6004  -0.22
Ni  0.6725  0.6725  0.3449  -0.03

=====

Entry 5:
Below is a relaxed ErPuNi crystal, with properties calculated at the GGA-PBE level.

Excess energy over the best structure of this formula in the dataset (meV/atom): 196
SG: P3m1, No. 156
E_form (eV/atom): 0.10

Lattice parameters (Å, degrees): 3.5609 4.6274 4.6274 120.00 90.00 90.00
Site moments in Bohr magnetons follow the coordinates.
Fractional positions:
Pu  0.0737  0.0000  0.0000  5.39
Ni  0.3071  0.6667  0.3333  -0.07
Er  0.6193  0.3333  0.6667  0.32

=====

Entry 6:
Below is a relaxed Er2PuNi crystal, with properties calculated at the GGA-PBE level.

Excess energy over the best structure of this formula in the dataset (meV/atom): 0
SG: P4/mmm, No. 123
E_form (eV/atom): -0.13

Lattice parameters (Å, degrees): 3.3717 3.3717 8.4805 90.00 90.00 90.00
Site moments in Bohr magnetons follow the coordinates.
Fractional positions:
Ni  0.5000  0.5000  0.0000  0.02
Er  0.0000  0.0000  0.1903  0.20
Er  0.0000  0.0000  0.8097  0.20
Pu  0.5000  0.5000  0.5000  5.67

=====

Entry 7:
Below is a relaxed Er3PuNi crystal, with properties calculated at the GGA-PBE level.

SG: Pm-3m, No. 221
E_form (eV/atom): 0.04

Lattice parameters (Å, degrees): 5.2461 5.2461 5.2461 90.00 90.00 90.00
Site moments in Bohr magnetons follow the coordinates.
Fractional positions:
Ni  0.0000  0.0000  0.0000  -0.10
Er  0.0000  0.5000  0.0000  -0.21
Er  0.5000  0.0000  0.0000  -0.21
Er  0.0000  0.0000  0.5000  -0.21
Pu  0.5000  0.5000  0.5000  -5.70

=====

Entry 8:
Below is a relaxed Er2PuNi9 crystal, with properties calculated at the GGA-PBE level.

SG: R-3m, No. 166
E_form (eV/atom): -0.36

Lattice parameters (Å, degrees): 4.9555 4.9555 8.5621 73.18 73.18 60.00
Site moments in Bohr magnetons follow the coordinates.
Fractional positions:
Pu  0.0000  0.0000  0.0000  -4.99
Er  0.8609  0.8609  0.4173  -0.13
Ni  0.6670  0.6670  0.9992  0.36
Ni  0.4166  0.9186  0.2482  0.21
Ni  0.5834  0.0814  0.7518  0.21
Ni  0.3330  0.3330  0.0008  0.36
Ni  0.9186  0.4166  0.2482  0.21
Ni  0.5834  0.5834  0.7518  0.21
Ni  0.4166  0.4166  0.2482  0.21
Er  0.1391  0.1391  0.5827  -0.13
Ni  0.5000  0.5000  0.5000  0.13
Ni  0.0814  0.5834  0.7518  0.21

=====

Entry 9:
Below is a relaxed ErPu2Ni crystal, with properties calculated at the GGA-PBE level.

Excess energy over the best structure of this formula in the dataset (meV/atom): 0
SG: P4/mmm, No. 123
E_form (eV/atom): 0.08

Lattice parameters (Å, degrees): 3.4550 3.4550 7.9895 90.00 90.00 90.00
Site moments in Bohr magnetons follow the coordinates.
Fractional positions:
Pu  0.0000  0.0000  0.1934  5.34
Er  0.5000  0.5000  0.5000  0.37
Ni  0.5000  0.5000  0.0000  -0.09
Pu  0.0000  0.0000  0.8066  5.34

=====

Entry 10:
Below is a relaxed ErPuNiRu crystal, with properties calculated at the GGA-PBE level.

SG: F-43m, No. 216
E_form (eV/atom): -0.23

Lattice parameters (Å, degrees): 4.7595 4.7595 4.7595 60.00 60.00 60.00
Site moments in Bohr magnetons follow the coordinates.
Fractional positions:
Ru  0.2500  0.2500  0.2500  0.44
Er  0.5000  0.5000  0.5000  -0.08
Pu  0.0000  0.0000  0.0000  -4.94
Ni  0.7500  0.7500  0.7500  0.28

=====

Entry 11:
Below is a relaxed ErPuZnNi crystal, with properties calculated at the GGA-PBE level.

SG: F-43m, No. 216
E_form (eV/atom): -0.15

Lattice parameters (Å, degrees): 4.8924 4.8924 4.8924 60.00 60.00 60.00
Site moments in Bohr magnetons follow the coordinates.
Fractional positions:
Zn  0.5000  0.5000  0.5000  0.02
Pu  0.2500  0.2500  0.2500  5.21
Ni  0.0000  0.0000  0.0000  -0.15
Er  0.7500  0.7500  0.7500  0.11

=====

Entry 12:
Below is a relaxed ErReNi crystal, with properties calculated at the GGA-PBE level.

SG: Fddd, No. 70
E_form (eV/atom): 0.38

Lattice parameters (Å, degrees): 4.6464 5.2333 10.2257 84.21 76.87 63.65
Fractional positions:
Er  0.8466  0.3069  0.0000
Re  0.8754  0.5000  0.2493
Er  0.9034  0.1931  0.5000
Er  0.1534  0.6931  0.0000
Ni  0.1744  0.5000  0.6513
Re  0.6246  0.5000  0.7507
Ni  0.3256  0.5000  0.3487
Ni  0.5756  0.0000  0.8487
Re  0.1254  0.0000  0.7493
Ni  0.4244  0.0000  0.1513
Er  0.5966  0.8069  0.5000
Re  0.8746  0.0000  0.2507

=====

Entry 13:
Below is a relaxed Er4NiRh crystal, with properties calculated at the GGA-PBE level.

Excess energy over the best structure of this formula in the dataset (meV/atom): 0
SG: C2/c, No. 15
E_form (eV/atom): -0.48

Lattice parameters (Å, degrees): 6.2008 7.2485 7.8627 113.52 108.78 99.03
Fractional positions:
Er  0.6263  0.3579  0.1215
Rh  0.3880  0.6380  0.2760
Ni  0.2534  0.0034  0.0068
Er  0.9952  0.7636  0.1215
Er  0.2082  0.3149  0.3620
Er  0.3737  0.6421  0.8785
Er  0.0048  0.2364  0.8785
Rh  0.6120  0.3620  0.7240
Er  0.3462  0.9529  0.6380
Er  0.6538  0.0471  0.3620
Er  0.7918  0.6851  0.6380
Ni  0.7466  0.9966  0.9932

=====

Entry 14:
Below is a relaxed Er7Ni2Rh2 crystal, with properties calculated at the GGA-PBE level.

SG: Cmmm, No. 65
E_form (eV/atom): -0.30

Lattice parameters (Å, degrees): 6.5390 6.8156 6.5390 90.00 102.40 90.00
Fractional positions:
Er  0.9998  0.2625  0.5003
Er  0.0002  0.7375  0.4997
Er  0.4997  0.2625  0.0002
Er  0.5003  0.7375  0.9998
Ni  0.2313  0.5000  0.2313
Rh  0.2781  0.0000  0.7219
Er  0.0000  0.0000  0.0000
Er  0.5002  0.7396  0.4998
Rh  0.7219  0.0000  0.2781
Er  0.4998  0.2604  0.5002
Ni  0.7687  0.5000  0.7687

=====

Entry 15:
Below is a relaxed Er3Ni8Rh crystal, with properties calculated at the GGA-PBE level.

SG: R3m, No. 160
E_form (eV/atom): -0.41

Lattice parameters (Å, degrees): 4.9584 4.9584 8.5845 73.21 73.21 60.00
Site moments in Bohr magnetons follow the coordinates.
Fractional positions:
Ni  0.9422  0.4359  0.1860  0.10
Ni  0.1881  0.1881  0.4358  0.18
Ni  0.9388  0.9388  0.6835  0.09
Ni  0.4359  0.9422  0.1860  0.10
Er  0.5085  0.5085  0.4745  -0.02
Ni  0.4359  0.4359  0.1860  0.10
Ni  0.6881  0.6881  0.9358  0.08
Ni  0.4389  0.9388  0.6835  0.09
Ni  0.9388  0.4389  0.6835  0.09
Er  0.9881  0.9881  0.0358  -0.02
Er  0.3775  0.3775  0.8676  -0.03
Rh  0.8693  0.8693  0.3920  0.15

=====

Entry 16:
Below is a relaxed ErNi4Rh crystal, with properties calculated at the GGA-PBE level.

Excess energy over the best structure of this formula in the dataset (meV/atom): 212
SG: Pmma, No. 51
E_form (eV/atom): -0.08

Lattice parameters (Å, degrees): 3.8082 6.4025 7.1888 90.00 90.00 90.00
Site moments in Bohr magnetons follow the coordinates.
Fractional positions:
Er  0.0000  0.6488  0.7500  -0.07
Ni  0.5000  0.9717  0.7500  0.29
Rh  0.0000  0.7540  0.2500  0.38
Ni  0.5000  0.2837  0.5332  0.37
Ni  0.0000  0.0000  0.5000  0.35
Er  0.0000  0.3512  0.2500  -0.07
Ni  0.0000  0.0000  0.0000  0.35
Rh  0.0000  0.2460  0.7500  0.38
Ni  0.5000  0.2837  0.9668  0.37
Ni  0.5000  0.0283  0.2500  0.29
Ni  0.5000  0.7163  0.4668  0.37
Ni  0.5000  0.7163  0.0332  0.37

=====

Entry 17:
Below is a relaxed ErNi2Rh crystal, with properties calculated at the GGA-PBE level.

SG: Pmma, No. 51
E_form (eV/atom): -0.16

Lattice parameters (Å, degrees): 4.9079 5.0421 11.4289 90.00 90.00 90.00
Fractional positions:
Ni  0.7493  0.7500  0.8617
Er  0.0000  0.7500  0.3976
Ni  0.5000  0.0000  0.5000
Er  0.5000  0.7500  0.1062
Rh  0.5000  0.2500  0.3183
Ni  0.7493  0.2500  0.1383
Ni  0.2507  0.2500  0.1383
Ni  0.0000  0.0000  0.0000
Rh  0.5000  0.7500  0.6817
Rh  0.0000  0.2500  0.3329
Ni  0.0000  0.5000  0.0000
Ni  0.2507  0.7500  0.8617
Er  0.5000  0.2500  0.8938
Er  0.0000  0.2500  0.6024
Rh  0.0000  0.7500  0.6671
Ni  0.5000  0.5000  0.5000

=====

Entry 18:
Below is a relaxed Er4Ni3Rh crystal, with properties calculated at the GGA-PBE level.

SG: Pmm2, No. 25
E_form (eV/atom): -0.59

Lattice parameters (Å, degrees): 3.7109 4.1666 10.2581 90.00 90.00 90.00
Fractional positions:
Ni  0.0000  0.5000  0.5707
Rh  0.5000  0.5000  0.0810
Er  0.5000  0.5000  0.3614
Ni  0.5000  0.0000  0.9170
Er  0.0000  0.0000  0.1413
Er  0.0000  0.5000  0.8586
Er  0.5000  0.0000  0.6389
Ni  0.0000  0.0000  0.4311

=====

Entry 19:
Below is a relaxed Er6NiRh crystal, with properties calculated at the GGA-PBE level.

SG: C2/m, No. 12
E_form (eV/atom): -0.27

Lattice parameters (Å, degrees): 6.5979 6.6031 6.3758 58.81 80.01 70.44
Fractional positions:
Er  0.7523  0.4149  0.6538
Er  0.2443  0.2505  0.0000
Rh  0.5000  0.5000  0.0000
Er  0.2477  0.5851  0.3462
Er  0.7523  0.0687  0.3462
Er  0.7557  0.7495  0.0000
Ni  0.0000  0.0000  0.0000
Er  0.2477  0.9313  0.6538

=====

Entry 20:
Below is a relaxed ErNiRh3 crystal, with properties calculated at the GGA-PBE level.

SG: Cmcm, No. 63
E_form (eV/atom): 0.25

Lattice parameters (Å, degrees): 4.7126 6.8540 6.8540 119.58 90.00 90.00
Fractional positions:
Rh  0.7500  0.4011  0.9584
Rh  0.5000  0.0000  0.0000
Ni  0.7500  0.8205  0.1795
Er  0.2500  0.3949  0.6051
Rh  0.0000  0.0000  0.0000
Ni  0.2500  0.1795  0.8205
Er  0.7500  0.6051  0.3949
Rh  0.2500  0.5989  0.0416
Rh  0.2500  0.9584  0.4011
Rh  0.7500  0.0416  0.5989